(1)
Density functional theory data (PBE) for a relaxed Li2AcLu crystal.

Unit cell a=7.738 b=7.738 c=7.738 alpha=90.00 beta=90.00 gamma=90.00
Space group Fm-3m (No. 225)
Unique sites:
Li: 0.250 0.250 0.250 (multiplicity 8)
Ac: 0.000 0.000 0.000 (multiplicity 4)
Lu: 0.000 0.000 0.500 (multiplicity 4)

Final energy in eV/atom: -2.95
Mass density in g/cm3: 6.0
DFT formation energy in eV/atom: 0.164

(2)
Density functional theory data (PBE) for a relaxed LiAcLu crystal.

Unit cell a=3.6816 b=3.6816 c=8.4574 alpha=90.00 beta=90.00 gamma=120.00
Space group P3m1 (No. 156)
Unique sites:
Li: 0.0000 0.0000 0.0000 (multiplicity 1)
Ac: 0.6667 0.3333 0.3456 (multiplicity 1)
Lu: 0.3333 0.6667 0.6944 (multiplicity 1)

Final energy in eV/atom: -3.33
Mass density in g/cm3: 6.8
DFT formation energy in eV/atom: 0.182

(3)
Density functional theory data (PBE) for a relaxed LiAcLu crystal.

Unit cell a=3.882 b=3.882 c=12.319 alpha=90.00 beta=90.00 gamma=90.00
Space group I4mm (No. 107)
Unique sites:
Li: 0.000 0.000 0.000 (multiplicity 2)
Ac: 0.000 0.000 0.673 (multiplicity 2)
Lu: 0.000 0.000 0.371 (multiplicity 2)

Final energy in eV/atom: -3.41
Mass density in g/cm3: 7.3
DFT formation energy in eV/atom: 0.101

(4)
Density functional theory data (PBE) for a relaxed LiAc2Lu crystal.

Unit cell a=3.7504 b=3.7504 c=38.3618 alpha=90.00 beta=90.00 gamma=120.00
Space group R-3m (No. 166, hexagonal axes)
Unique sites:
Li: 0.0000 0.0000 0.0000 (multiplicity 3)
Ac: 0.0000 0.0000 0.0903 (multiplicity 6)
Lu: 0.0000 0.0000 0.5000 (multiplicity 3)

Final energy in eV/atom: -3.44
Mass density in g/cm3: 6.8
DFT formation energy in eV/atom: 0.223

(5)
Density functional theory data (PBE) for a relaxed Li2AcLu crystal.

Unit cell a=3.831 b=3.831 c=7.726 alpha=90.00 beta=90.00 gamma=90.00
Space group P4/mmm (No. 123)
Unique sites:
Li: 0.000 0.000 0.224 (multiplicity 2)
Ac: 0.500 0.500 0.500 (multiplicity 1)
Lu: 0.500 0.500 0.000 (multiplicity 1)

Final energy in eV/atom: -2.96
Mass density in g/cm3: 6.1
DFT formation energy in eV/atom: 0.152

(6)
Density functional theory data (PBE) for a relaxed LiAc2Lu crystal.

Unit cell a=8.268 b=8.268 c=8.268 alpha=90.00 beta=90.00 gamma=90.00
Space group Fm-3m (No. 225)
Unique sites:
Li: 0.000 0.000 0.000 (multiplicity 4)
Ac: 0.250 0.250 0.250 (multiplicity 8)
Lu: 0.000 0.000 0.500 (multiplicity 4)

Final energy in eV/atom: -3.55
Mass density in g/cm3: 7.5
DFT formation energy in eV/atom: 0.109

(7)
Density functional theory data (PBE) for a relaxed LiAc2Lu crystal.

Unit cell a=4.084 b=4.084 c=8.578 alpha=90.00 beta=90.00 gamma=90.00
Space group P4/mmm (No. 123)
Unique sites:
Li: 0.000 0.000 0.000 (multiplicity 1)
Ac: 0.500 0.500 0.242 (multiplicity 2)
Lu: 0.000 0.000 0.500 (multiplicity 1)

Final energy in eV/atom: -3.59
Mass density in g/cm3: 7.4
DFT formation energy in eV/atom: 0.074

(8)
Density functional theory data (PBE) for a relaxed LiAcLuOs crystal.

Unit cell a=7.162 b=7.162 c=7.162 alpha=90.00 beta=90.00 gamma=90.00
Space group F-43m (No. 216)
Unique sites:
Li: 0.000 0.000 0.000 (multiplicity 4)
Ac: 0.250 0.250 0.250 (multiplicity 4)
Lu: 0.250 0.250 0.750 (multiplicity 4)
Os: 0.000 0.000 0.500 (multiplicity 4)

Final energy in eV/atom: -5.51
Mass density in g/cm3: 10.8
DFT formation energy in eV/atom: -0.064

(9)
Density functional theory data (PBE) for a relaxed LiAcLuPb crystal.

Unit cell a=7.821 b=7.821 c=7.821 alpha=90.00 beta=90.00 gamma=90.00
Space group F-43m (No. 216)
Unique sites:
Li: 0.000 0.000 0.000 (multiplicity 4)
Ac: 0.250 0.250 0.250 (multiplicity 4)
Lu: 0.250 0.250 0.750 (multiplicity 4)
Pb: 0.000 0.000 0.500 (multiplicity 4)

Final energy in eV/atom: -3.75
Mass density in g/cm3: 8.6
DFT formation energy in eV/atom: -0.189

(10)
Density functional theory data (PBE) for a relaxed LiAcPrLu crystal.

Unit cell a=8.086 b=8.086 c=8.086 alpha=90.00 beta=90.00 gamma=90.00
Space group F-43m (No. 216)
Unique sites:
Li: 0.000 0.000 0.000 (multiplicity 4)
Ac: 0.250 0.250 0.750 (multiplicity 4)
Pr: 0.250 0.250 0.250 (multiplicity 4)
Lu: 0.000 0.000 0.500 (multiplicity 4)

Final energy in eV/atom: -3.70
Mass density in g/cm3: 6.9
DFT formation energy in eV/atom: 0.130

(11)
Density functional theory data (PBE) for a relaxed LiAcLuSi crystal.

Unit cell a=7.361 b=7.361 c=7.361 alpha=90.00 beta=90.00 gamma=90.00
Space group F-43m (No. 216)
Unique sites:
Li: 0.000 0.000 0.000 (multiplicity 4)
Ac: 0.250 0.250 0.250 (multiplicity 4)
Lu: 0.250 0.250 0.750 (multiplicity 4)
Si: 0.000 0.000 0.500 (multiplicity 4)

Final energy in eV/atom: -4.18
Mass density in g/cm3: 7.3

(12)
Density functional theory data (PBE) for a relaxed LiAcSmLu crystal.

Unit cell a=8.033 b=8.033 c=8.033 alpha=90.00 beta=90.00 gamma=90.00
Space group F-43m (No. 216)
Unique sites:
Li: 0.000 0.000 0.000 (multiplicity 4)
Ac: 0.250 0.250 0.750 (multiplicity 4)
Sm: 0.250 0.250 0.250 (multiplicity 4)
Lu: 0.000 0.000 0.500 (multiplicity 4)

Final energy in eV/atom: -3.67
Mass density in g/cm3: 7.2
DFT formation energy in eV/atom: 0.145

(13)
Density functional theory data (PBE) for a relaxed LiAcTmLu crystal.

Unit cell a=7.964 b=7.964 c=7.964 alpha=90.00 beta=90.00 gamma=90.00
Space group F-43m (No. 216)
Unique sites:
Li: 0.000 0.000 0.000 (multiplicity 4)
Ac: 0.250 0.250 0.750 (multiplicity 4)
Tm: 0.250 0.250 0.250 (multiplicity 4)
Lu: 0.000 0.000 0.500 (multiplicity 4)

Final energy in eV/atom: -3.58
Mass density in g/cm3: 7.6
DFT formation energy in eV/atom: 0.172

(14)
Density functional theory data (PBE) for a relaxed LiAcYLu crystal.

Unit cell a=8.007 b=8.007 c=8.007 alpha=90.00 beta=90.00 gamma=90.00
Space group F-43m (No. 216)
Unique sites:
Li: 0.000 0.000 0.000 (multiplicity 4)
Ac: 0.250 0.250 0.250 (multiplicity 4)
Y: 0.250 0.250 0.750 (multiplicity 4)
Lu: 0.000 0.000 0.500 (multiplicity 4)

Final energy in eV/atom: -4.09
Mass density in g/cm3: 6.4
DFT formation energy in eV/atom: 0.157

(15)
Density functional theory data (PBE) for a relaxed LiAcLuZn crystal.

Unit cell a=7.538 b=7.538 c=7.538 alpha=90.00 beta=90.00 gamma=90.00
Space group F-43m (No. 216)
Unique sites:
Li: 0.000 0.000 0.000 (multiplicity 4)
Ac: 0.250 0.250 0.750 (multiplicity 4)
Lu: 0.250 0.250 0.250 (multiplicity 4)
Zn: 0.000 0.000 0.500 (multiplicity 4)

Final energy in eV/atom: -3.00
Mass density in g/cm3: 7.4
DFT formation energy in eV/atom: -0.045

(16)
Density functional theory data (PBE) for a relaxed LiAcMg11 crystal.

Unit cell a=5.863 b=14.733 c=7.891 alpha=90.00 beta=110.90 gamma=90.00
Space group C2/m (No. 12)
Unique sites:
Li: 0.000 0.000 0.000 (multiplicity 2)
Ac: 0.000 0.500 0.500 (multiplicity 2)
Mg: 0.000 0.500 0.000 (multiplicity 2)
Mg: 0.103 0.108 0.721 (multiplicity 8)
Mg: 0.179 0.324 0.856 (multiplicity 8)
Mg: 0.250 0.250 0.500 (multiplicity 4)

Final energy in eV/atom: -1.88
Mass density in g/cm3: 2.6
DFT formation energy in eV/atom: -0.063

(17)
Density functional theory data (PBE) for a relaxed Li3AcMg crystal.

Unit cell a=7.082 b=12.292 c=6.176 alpha=90.00 beta=90.00 gamma=90.00
Space group Cmcm (No. 63)
Unique sites:
Li: 0.000 0.197 0.250 (multiplicity 4)
Li: 0.204 0.401 0.250 (multiplicity 8)
Ac: 0.000 0.333 0.750 (multiplicity 4)
Mg: 0.000 0.000 0.000 (multiplicity 4)

Final energy in eV/atom: -2.16
Mass density in g/cm3: 3.4
DFT formation energy in eV/atom: 0.126

(18)
Density functional theory data (PBE) for a relaxed LiAcMg3 crystal.

Unit cell a=5.123 b=5.123 c=5.123 alpha=90.00 beta=90.00 gamma=90.00
Space group Pm-3m (No. 221)
Unique sites:
Li: 0.000 0.000 0.000 (multiplicity 1)
Ac: 0.500 0.500 0.500 (multiplicity 1)
Mg: 0.000 0.000 0.500 (multiplicity 3)

Final energy in eV/atom: -2.13
Mass density in g/cm3: 3.8
DFT formation energy in eV/atom: 0.035

(19)
Density functional theory data (PBE) for a relaxed Li2AcMg crystal.

Unit cell a=9.271 b=7.470 c=6.463 alpha=90.00 beta=90.00 gamma=90.00
Space group Pnma (No. 62)
Unique sites:
Li: 0.176 0.058 0.105 (multiplicity 8)
Ac: 0.045 0.250 0.636 (multiplicity 4)
Mg: 0.111 0.750 0.851 (multiplicity 4)

Final energy in eV/atom: -2.33
Mass density in g/cm3: 3.9
DFT formation energy in eV/atom: 0.051

(20)
Density functional theory data (PBE) for a relaxed LiAc3Mg4 crystal.

Unit cell a=4.009 b=4.009 c=15.979 alpha=90.00 beta=90.00 gamma=90.00
Space group P4/mmm (No. 123)
Unique sites:
Li: 0.000 0.000 0.000 (multiplicity 1)
Ac: 0.000 0.000 0.239 (multiplicity 2)
Ac: 0.000 0.000 0.500 (multiplicity 1)
Mg: 0.500 0.500 0.098 (multiplicity 2)
Mg: 0.500 0.500 0.369 (multiplicity 2)

Final energy in eV/atom: -2.61
Mass density in g/cm3: 5.1
DFT formation energy in eV/atom: -0.035